1.
A plane-wave DFT calculation with PBE was carried out for crystalline CaMnTc4 at its relaxed geometry.

a b c (Å): 5.256 5.256 5.256
angles (deg): 60.00 60.00 60.00
Sites, in units of the cell vectors:
Ca (0.000, 0.000, 0.000)
Mn (0.750, 0.750, 0.750)
Tc (0.376, 0.376, 0.376)
Tc (0.376, 0.376, 0.873)
Tc (0.376, 0.873, 0.376)
Tc (0.873, 0.376, 0.376)

Values from the calculation:
Total energy   -8.406 eV/atom
Crystal system   cubic
Energy of formation   2.20 eV/f.u.
Mass density   7.878 g/cm3

---

2.
A plane-wave DFT calculation with PBE was carried out for crystalline CsCd2Cl4 at its relaxed geometry.

a b c (Å): 7.052 7.052 7.052
angles (deg): 102.72 102.72 124.04
Sites, in units of the cell vectors:
Cs (0.000, 0.000, 0.000)
Cd (0.250, 0.750, 0.500)
Cd (0.750, 0.250, 0.500)
Cl (0.187, 0.357, 0.545)
Cl (0.357, 0.813, 0.170)
Cl (0.643, 0.187, 0.830)
Cl (0.813, 0.643, 0.455)

Values from the calculation:
Total energy   -2.521 eV/atom
Crystal system   tetragonal
Mass density   3.231 g/cm3
ΔE_f (raw)   -1082 meV per atom

---

3.
A plane-wave DFT calculation with PBE was carried out for crystalline AuI at its relaxed geometry.

a b c (Å): 8.035 8.035 8.035
angles (deg): 90.00 90.00 90.00
Sites, in units of the cell vectors:
Au (0.000, 0.250, 0.500)
Au (0.000, 0.750, 0.500)
Au (0.250, 0.500, 0.000)
Au (0.500, 0.000, 0.250)
Au (0.500, 0.000, 0.750)
Au (0.750, 0.500, 0.000)
I (0.000, 0.500, 0.250)
I (0.000, 0.500, 0.750)
I (0.250, 0.000, 0.500)
I (0.500, 0.250, 0.000)
I (0.500, 0.750, 0.000)
I (0.750, 0.000, 0.500)

Values from the calculation:
Total energy   -2.318 eV/atom
Crystal system   cubic
Mass density   6.220 g/cm3
ΔE_f (raw)   96 meV per atom